*a*
Density functional theory data (PBE-GGA) for a relaxed structure of LiZnSb2Te.

Output
As for the mass density: 4.80 g cm⁻³.

Cell: 5.199 5.199 5.680 Å, 90.00 90.00 90.00°
Space group P4/mmm (No. 123)
Unique sites:
Li: 0.000 0.000 0.000
Zn: 0.500 0.500 0.500
Sb: 0.000 0.500 0.500
Te: 0.500 0.500 0.000



*b*
Density functional theory data (PBE-GGA) for a relaxed structure of LiZnSb2Te.

Output
As for the mass density: 5.66 g cm⁻³.

Cell: 4.996 4.996 5.208 Å, 90.00 90.00 90.00°
Space group P4/mmm (No. 123)
Unique sites:
Li: 0.000 0.000 0.000
Zn: 0.500 0.500 0.500
Sb: 0.000 0.500 0.000
Te: 0.000 0.000 0.500



In meV/atom, relative to the most stable structure: *a* 0; *b* 83.



*a*
Density functional theory data (PBE-GGA) for a relaxed structure of LiTl2Sb2.

Output
As for the mass density: 7.19 g cm⁻³.

Cell: 8.282 8.282 4.437 Å, 90.00 90.00 90.00°
Space group P4/mbm (No. 127)
Unique sites:
Li: 0.000 0.000 0.000
Tl: 0.163 0.337 0.000
Sb: 0.126 0.626 0.500



*b*
Density functional theory data (PBE-GGA) for a relaxed structure of LiTl2Sb2.

Output
As for the mass density: 7.44 g cm⁻³.

Cell: 7.421 7.421 5.347 Å, 90.00 90.00 90.00°
Space group P4/mbm (No. 127)
Unique sites:
Li: 0.000 0.000 0.000
Tl: 0.173 0.327 0.500
Sb: 0.137 0.637 0.000



In meV/atom, relative to the most stable structure: *a* 155; *b* 0.



*a*
Density functional theory data (PBE-GGA) for a relaxed structure of LiTl2Sb2.

Output
As for the mass density: 7.38 g cm⁻³.

Cell: 6.138 15.045 6.426 Å, 90.00 90.00 90.00°
Space group Cmcm (No. 63)
Unique sites:
Li: 0.000 0.000 0.000
Tl: 0.000 0.188 0.250
Tl: 0.000 0.422 0.750
Sb: 0.248 0.123 0.750



*b*
Density functional theory data (PBE-GGA) for a relaxed structure of LiTl2Sb2.

Output
As for the mass density: 6.83 g cm⁻³.

Cell: 4.589 4.589 15.226 Å, 90.00 90.00 90.00°
Space group I4/mmm (No. 139)
Unique sites:
Li: 0.000 0.000 0.000
Tl: 0.000 0.500 0.250
Sb: 0.000 0.000 0.409



In meV/atom, relative to the most stable structure: *a* 0; *b* 129.



*a*
Density functional theory data (PBE-GGA) for a relaxed structure of LiTl2Sb2.

Output
As for the mass density: 7.25 g cm⁻³.

Cell: 11.120 6.213 4.824 Å, 90.00 115.06 90.00°
Space group C2/m (No. 12)
Unique sites:
Li: 0.000 0.000 0.000
Tl: 0.197 0.500 0.194
Sb: 0.000 0.263 0.500



*b*
Density functional theory data (PBE-GGA) for a relaxed structure of LiTl2Sb2.

Output
As for the mass density: 6.92 g cm⁻³.

Cell: 4.305 4.305 17.060 Å, 90.00 90.00 90.00°
Space group I4/mmm (No. 139)
Unique sites:
Li: 0.000 0.000 0.000
Tl: 0.000 0.000 0.404
Sb: 0.000 0.500 0.250



In meV/atom, relative to the most stable structure: *a* 0; *b* 177.



*a*
Density functional theory data (PBE-GGA) for a relaxed structure of LiTlSb2.

Output
As for the mass density: 6.56 g cm⁻³.

Cell: 4.041 4.397 12.953 Å, 90.00 90.00 90.00°
Space group Imm2 (No. 44)
Unique sites:
Li: 0.000 0.000 0.000
Tl: 0.000 0.500 0.227
Sb: 0.000 0.000 0.516
Sb: 0.000 0.500 0.849



*b*
Density functional theory data (PBE-GGA) for a relaxed structure of LiTlSb2.

Output
As for the mass density: 7.16 g cm⁻³.

Cell: 3.224 3.224 10.151 Å, 90.00 90.00 90.00°
Space group P4mm (No. 99)
Unique sites:
Li: 0.000 0.000 0.000
Tl: 0.500 0.500 0.754
Sb: 0.000 0.000 0.505
Sb: 0.500 0.500 0.187



*c*
Density functional theory data (PBE-GGA) for a relaxed structure of LiTlSb2.

Output
As for the mass density: 7.30 g cm⁻³.

Cell: 3.233 3.233 9.898 Å, 90.00 90.00 90.00°
Space group P4/mmm (No. 123)
Unique sites:
Li: 0.000 0.000 0.000
Tl: 0.000 0.000 0.500
Sb: 0.500 0.500 0.210



*d*
Density functional theory data (PBE-GGA) for a relaxed structure of LiTlSb2.

Output
As for the mass density: 5.75 g cm⁻³.

Cell: 6.939 6.939 10.906 Å, 90.00 90.00 90.00°
Space group I-42d (No. 122)
Unique sites:
Li: 0.000 0.000 0.000
Tl: 0.000 0.000 0.500
Sb: 0.227 0.250 0.125



In meV/atom, relative to the most stable structure: *a* 48; *b* 136; *c* 0; *d* 382.



*a*
Density functional theory data (PBE-GGA) for a relaxed structure of LiTlSb2.

Output
As for the mass density: 6.96 g cm⁻³.

Cell: 4.6411 4.6411 17.4608 Å, 90.00 90.00 120.00°
Space group R3m (No. 160, hexagonal axes)
Unique sites:
Li: 0.0000 0.0000 0.0000
Tl: 0.0000 0.0000 0.8293
Sb: 0.0000 0.0000 0.3906
Sb: 0.0000 0.0000 0.5988



*b*
Density functional theory data (PBE-GGA) for a relaxed structure of LiTlSb2.

Output
As for the mass density: 6.97 g cm⁻³.

Cell: 6.209 10.361 3.371 Å, 90.00 90.45 90.00°
Space group C2/m (No. 12)
Unique sites:
Li: 0.000 0.000 0.000
Tl: 0.000 0.500 0.000
Sb: 0.250 0.250 0.500



*c*
Density functional theory data (PBE-GGA) for a relaxed structure of LiTlSb2.

Output
As for the mass density: 7.09 g cm⁻³.

Cell: 7.524 7.524 7.524 Å, 90.00 90.00 90.00°
Space group F-43m (No. 216)
Unique sites:
Li: 0.000 0.000 0.000
Tl: 0.250 0.250 0.750
Sb: 0.000 0.000 0.500
Sb: 0.250 0.250 0.250



In meV/atom, relative to the most stable structure: *a* 71; *b* 0; *c* 112.